La4SnTe: optimized geometry, PBE-GGA.

As for the calculated total energy: -5.110 eV/atom. The value obtained for the calculated volume is 411.2 Å³ per cell.

It has space group P-1 (No. 2), with a = 5.755 Å, b = 8.017 Å, c = 10.165 Å, α = 112.86°, β = 106.44° and γ = 90.05°. The inequivalent atoms are La at (0.074, 0.427, 0.147), La at (0.178, 0.043, 0.357), La at (0.321, 0.457, 0.643), La at (0.426, 0.073, 0.853), Sn at (0.251, 0.750, 0.500), Te at (0.000, 0.000, 0.000) and Te at (0.500, 0.500, 0.000).

La2SnTe2: optimized geometry, PBE-GGA.

As for the calculated total energy: -4.977 eV/atom. The value obtained for the calculated volume is 363.3 Å³ per cell. As for the relative energy among the computed polymorphs: 157 meV per atom.

It has space group I4/mmm (No. 139), with a = 6.135 Å, b = 6.135 Å, c = 9.652 Å, α = 90.00°, β = 90.00° and γ = 90.00°. The inequivalent atoms are La at (0.000, 0.500, 0.250), Sn at (0.000, 0.000, 0.000) and Te at (0.000, 0.000, 0.329).

LaSn2Te2: optimized geometry, PBE-GGA.

As for the calculated total energy: -4.332 eV/atom. The value obtained for the calculated volume is 310.6 Å³ per cell. As for the relative energy among the computed polymorphs: 139 meV per atom.

It has space group P4/mbm (No. 127), with a = 8.455 Å, b = 8.455 Å, c = 4.345 Å, α = 90.00°, β = 90.00° and γ = 90.00°. The inequivalent atoms are La at (0.000, 0.000, 0.000), Sn at (0.128, 0.372, 0.000) and Te at (0.197, 0.697, 0.500).

La2Tl3SnTe6: optimized geometry, PBE-GGA.

As for the calculated total energy: -4.151 eV/atom. The value obtained for the calculated volume is 886.6 Å³ per cell.

It has space group C2/m (No. 12), with a = 20.893 Å, b = 4.588 Å, c = 9.625 Å, α = 90.00°, β = 106.08° and γ = 90.00°. The inequivalent atoms are La at (0.165, 0.000, 0.333), Tl at (0.000, 0.500, 0.500), Tl at (0.169, 0.000, 0.838), Sn at (0.000, 0.500, 0.000), Te at (0.003, 0.000, 0.231), Te at (0.158, 0.500, 0.095) and Te at (0.173, 0.500, 0.572).

La4TlSnTe2: optimized geometry, PBE-GGA.

As for the calculated total energy: -5.108 eV/atom. The value obtained for the calculated volume is 279.4 Å³ per cell.

It has space group P2/m (No. 10), with a = 7.806 Å, b = 4.585 Å, c = 8.253 Å, α = 90.00°, β = 108.91° and γ = 90.00°. The inequivalent atoms are La at (0.245, 0.000, 0.246), La at (0.247, 0.500, 0.748), Tl at (0.500, 0.000, 0.000), Sn at (0.000, 0.500, 0.000), Te at (0.000, 0.000, 0.500) and Te at (0.500, 0.500, 0.500).

LaThSn: optimized geometry, PBE-GGA.

As for the calculated total energy: -5.898 eV/atom. The value obtained for the calculated volume is 370.3 Å³ per cell. As for the relative energy among the computed polymorphs: 80 meV per atom. The value obtained for the formation energy is -0.45 eV per atom.

It has space group C2/m (No. 12), with a = 11.102 Å, b = 4.233 Å, c = 8.518 Å, α = 90.00°, β = 112.32° and γ = 90.00°. The inequivalent atoms are La at (0.152, 0.000, 0.078), Th at (0.150, 0.000, 0.571) and Sn at (0.001, 0.500, 0.747).

LaTh2Sn: optimized geometry, PBE-GGA.

As for the calculated total energy: -6.283 eV/atom. The value obtained for the calculated volume is 122.2 Å³ per cell. As for the relative energy among the computed polymorphs: 0 meV per atom. The value obtained for the formation energy is -0.34 eV per atom.

It has space group P4/mmm (No. 123), with a = 4.957 Å, b = 4.957 Å, c = 4.974 Å, α = 90.00°, β = 90.00° and γ = 90.00°. The inequivalent atoms are La at (0.000, 0.000, 0.000), Th at (0.000, 0.500, 0.500) and Sn at (0.500, 0.500, 0.000).

LaThSn2: optimized geometry, PBE-GGA.

As for the calculated total energy: -5.581 eV/atom. The value obtained for the calculated volume is 480.3 Å³ per cell. As for the relative energy among the computed polymorphs: 176 meV per atom. The value obtained for the formation energy is -0.49 eV per atom.

It has space group Fm-3m (No. 225), with a = 7.831 Å, b = 7.831 Å, c = 7.831 Å, α = 90.00°, β = 90.00° and γ = 90.00°. The inequivalent atoms are La at (0.000, 0.000, 0.000), Th at (0.000, 0.000, 0.500) and Sn at (0.250, 0.250, 0.250).

La2ThSn3: optimized geometry, PBE-GGA.

As for the calculated total energy: -5.438 eV/atom. The value obtained for the calculated volume is 825.6 Å³ per cell. The value obtained for the formation energy is -0.56 eV per atom.

It has space group C2/c (No. 15), with a = 7.973 Å, b = 13.889 Å, c = 7.928 Å, α = 90.00°, β = 109.88° and γ = 90.00°. The inequivalent atoms are La at (0.000, 0.083, 0.250), La at (0.000, 0.247, 0.750), Th at (0.000, 0.414, 0.250), Sn at (0.240, 0.419, 0.998) and Sn at (0.250, 0.250, 0.500).

LaTh2Sn: optimized geometry, PBE-GGA.

As for the calculated total energy: -6.017 eV/atom. The value obtained for the calculated volume is 384.5 Å³ per cell. As for the relative energy among the computed polymorphs: 266 meV per atom. The value obtained for the formation energy is -0.07 eV per atom.

It has space group R-3m (No. 166, hexagonal axes), with a = 3.6344 Å, b = 3.6344 Å, c = 33.6097 Å, α = 90.00°, β = 90.00° and γ = 120.00°. The inequivalent atoms are La at (0.0000, 0.0000, 0.0000), Th at (0.0000, 0.0000, 0.2447) and Sn at (0.0000, 0.0000, 0.5000).

La5ThSn3: optimized geometry, PBE-GGA.

As for the calculated total energy: -5.459 eV/atom. The value obtained for the calculated volume is 571.4 Å³ per cell. The value obtained for the formation energy is -0.56 eV per atom.

It has space group P6_3/mcm (No. 193), with a = 9.8152 Å, b = 9.8152 Å, c = 6.8482 Å, α = 90.00°, β = 90.00° and γ = 120.00°. The inequivalent atoms are La at (0.0000, 0.3321, 0.2500), La at (0.3333, 0.6667, 0.0000), Th at (0.0000, 0.0000, 0.0000) and Sn at (0.0000, 0.3306, 0.7500).

La3ThSn12: optimized geometry, PBE-GGA.

As for the calculated total energy: -4.938 eV/atom. The value obtained for the calculated volume is 439.9 Å³ per cell. The value obtained for the formation energy is -0.55 eV per atom.

It has space group P4/mmm (No. 123), with a = 4.806 Å, b = 4.806 Å, c = 19.048 Å, α = 90.00°, β = 90.00° and γ = 90.00°. The inequivalent atoms are La at (0.000, 0.000, 0.000), La at (0.000, 0.000, 0.253), Th at (0.000, 0.000, 0.500), Sn at (0.000, 0.500, 0.126), Sn at (0.000, 0.500, 0.377), Sn at (0.500, 0.500, 0.000), Sn at (0.500, 0.500, 0.251) and Sn at (0.500, 0.500, 0.500).

LaTh4Sn2: optimized geometry, PBE-GGA.

As for the calculated total energy: -5.536 eV/atom. The value obtained for the calculated volume is 499.7 Å³ per cell. The value obtained for the formation energy is 0.55 eV per atom.

It has space group I4/mmm (No. 139), with a = 5.529 Å, b = 5.529 Å, c = 16.344 Å, α = 90.00°, β = 90.00° and γ = 90.00°. The inequivalent atoms are La at (0.000, 0.000, 0.000), Th at (0.000, 0.000, 0.178), Th at (0.000, 0.500, 0.000) and Sn at (0.000, 0.000, 0.369).

LaThSn: optimized geometry, PBE-GGA.

As for the calculated total energy: -5.867 eV/atom. The value obtained for the calculated volume is 184.3 Å³ per cell. As for the relative energy among the computed polymorphs: 111 meV per atom. The value obtained for the formation energy is -0.42 eV per atom.

It has space group I4mm (No. 107), with a = 4.239 Å, b = 4.239 Å, c = 10.256 Å, α = 90.00°, β = 90.00° and γ = 90.00°. The inequivalent atoms are La at (0.000, 0.000, 0.000), Th at (0.000, 0.000, 0.698) and Sn at (0.000, 0.000, 0.346).

LaThSn2: optimized geometry, PBE-GGA.

As for the calculated total energy: -5.712 eV/atom. The value obtained for the calculated volume is 116.9 Å³ per cell. As for the relative energy among the computed polymorphs: 44 meV per atom. The value obtained for the formation energy is -0.62 eV per atom.

It has space group P4/mmm (No. 123), with a = 3.579 Å, b = 3.579 Å, c = 9.128 Å, α = 90.00°, β = 90.00° and γ = 90.00°. The inequivalent atoms are La at (0.000, 0.000, 0.000), Th at (0.000, 0.000, 0.500) and Sn at (0.500, 0.500, 0.253).

LaThSn2: optimized geometry, PBE-GGA.

As for the calculated total energy: -5.692 eV/atom. The value obtained for the calculated volume is 116.6 Å³ per cell. As for the relative energy among the computed polymorphs: 64 meV per atom. The value obtained for the formation energy is -0.60 eV per atom.

It has space group P4/mmm (No. 123), with a = 5.071 Å, b = 5.071 Å, c = 4.534 Å, α = 90.00°, β = 90.00° and γ = 90.00°. The inequivalent atoms are La at (0.000, 0.000, 0.000), Th at (0.500, 0.500, 0.000) and Sn at (0.000, 0.500, 0.500).

La6ThSn: optimized geometry, PBE-GGA.

As for the calculated total energy: -5.333 eV/atom. The value obtained for the calculated volume is 266.5 Å³ per cell. The value obtained for the formation energy is -0.21 eV per atom.

It has space group P4/mmm (No. 123), with a = 5.089 Å, b = 5.089 Å, c = 10.291 Å, α = 90.00°, β = 90.00° and γ = 90.00°. The inequivalent atoms are La at (0.000, 0.000, 0.000), La at (0.000, 0.000, 0.500), La at (0.000, 0.500, 0.248), Th at (0.500, 0.500, 0.500) and Sn at (0.500, 0.500, 0.000).

LaTh2Sn2: optimized geometry, PBE-GGA.

As for the calculated total energy: -5.808 eV/atom. The value obtained for the calculated volume is 316.9 Å³ per cell. The value obtained for the formation energy is -0.25 eV per atom.

It has space group P6_3/mmc (No. 194), with a = 5.3077 Å, b = 5.3077 Å, c = 12.9882 Å, α = 90.00°, β = 90.00° and γ = 120.00°. The inequivalent atoms are La at (0.3333, 0.6667, 0.2500), Th at (0.3333, 0.6667, 0.5354) and Sn at (0.0000, 0.0000, 0.1238).

LaThSn: optimized geometry, PBE-GGA.

As for the calculated total energy: -5.978 eV/atom. The value obtained for the calculated volume is 198.9 Å³ per cell. As for the relative energy among the computed polymorphs: 0 meV per atom. The value obtained for the formation energy is -0.53 eV per atom.

It has space group P4/nmm (No. 129, origin choice 2), with a = 4.683 Å, b = 4.683 Å, c = 9.070 Å, α = 90.00°, β = 90.00° and γ = 90.00°. The inequivalent atoms are La at (0.250, 0.250, 0.143), Th at (0.250, 0.750, 0.500) and Sn at (0.250, 0.250, 0.769).

LaThSn2: optimized geometry, PBE-GGA.

As for the calculated total energy: -5.752 eV/atom. The value obtained for the calculated volume is 248.1 Å³ per cell. As for the relative energy among the computed polymorphs: 4 meV per atom. The value obtained for the formation energy is -0.66 eV per atom.

It has space group Pmc2_1 (No. 26), with a = 4.534 Å, b = 6.371 Å, c = 8.588 Å, α = 90.00°, β = 90.00° and γ = 90.00°. The inequivalent atoms are La at (0.000, 0.121, 0.000), Th at (0.500, 0.378, 0.634), Sn at (0.000, 0.408, 0.360) and Sn at (0.500, 0.099, 0.275).